1.
The following is a meta-GGA SCAN calculation of a PBEsol-optimized structure of KSrAu2, from Alexandria.

ΔH_f (0 K) ... -2.27 eV/f.u.
Raw total energy ... -42.7975 eV/atom

Lattice parameters (Å, degrees): 4.3946 4.3946 8.1935 74.44 74.44 60.00
Atoms (fractional coordinates):
Sr 0.5000 0.5000 0.5000
K 0.0000 0.0000 0.0000
Au 0.7583 0.7583 0.7250
Au 0.2417 0.2417 0.2750

2.
The following is a meta-GGA SCAN calculation of a PBEsol-optimized structure of KSrAu4, from Alexandria.

ΔH_f (0 K) ... -3.36 eV/f.u.
Raw total energy ... -51.7654 eV/atom

Lattice parameters (Å, degrees): 5.7027 5.7027 5.7027 60.00 60.00 60.00
Atoms (fractional coordinates):
Au 0.8745 0.3752 0.3752
Au 0.3752 0.3752 0.8745
Au 0.3752 0.3752 0.3752
Au 0.3752 0.8745 0.3752
Sr 0.0000 0.0000 0.0000
K 0.7500 0.7500 0.7500

- What is the raw total energy in the first record?
  -42.7975 eV/atom